Ca2Zn9Ga3: optimized geometry, PBE.

abc: 13.519 7.885 9.263
angles: 90.00 90.00 90.00
Space group Cmcm (No. 63)
Inequivalent atoms, fractional coordinates:
Ca1 0.161 0.162 0.250 x8
Zn1 0.000 0.146 0.750 x4
Zn2 0.000 0.339 0.057 x8
Zn3 0.095 0.448 0.750 x8
Zn4 0.160 0.182 0.592 x16
Ga1 0.000 0.000 0.000 x4
Ga2 0.186 0.500 0.000 x8

Calculated values
Magnetization   0.000 μB/f.u.
Energy of formation   -0.210 eV/atom

Ca2Zn2Ga: optimized geometry, PBE.

abc: 10.860 4.438 10.962
angles: 90.00 117.18 90.00
Space group C2/m (No. 12)
Inequivalent atoms, fractional coordinates:
Ca1 0.017 0.000 0.339 x4
Ca2 0.197 0.000 0.111 x4
Zn1 0.007 0.500 0.885 x4
Zn2 0.141 0.500 0.559 x4
Ga1 0.226 0.500 0.346 x4

Calculated values
Magnetization   0.000 μB/f.u.
Energy of formation   -0.352 eV/atom

CaZn2Ga: optimized geometry, PBE.

abc: 4.387 4.387 4.201
angles: 90.00 90.00 90.00
Space group P4/mmm (No. 123)
Inequivalent atoms, fractional coordinates:
Ca1 0.000 0.000 0.000 x1
Zn1 0.000 0.500 0.500 x2
Ga1 0.500 0.500 0.000 x1

Calculated values
Magnetization   0.000 μB/f.u.
Energy of formation   -0.167 eV/atom

Ca3Zn4Ga4: optimized geometry, PBE.

abc: 3.841 4.429 13.760
angles: 80.76 82.02 89.95
Space group P-1 (No. 2)
Inequivalent atoms, fractional coordinates:
Ca1 0.000 0.000 0.000 x1
Ca2 0.148 0.647 0.705 x2
Zn1 0.254 0.256 0.490 x2
Zn2 0.407 0.906 0.190 x2
Ga1 0.311 0.811 0.379 x2
Ga2 0.451 0.451 0.099 x2

Calculated values
Magnetization   0.000 μB/f.u.
Energy of formation   -0.372 eV/atom

Ca4Zn2Ga: optimized geometry, PBE.

abc: 5.1737 5.1737 25.5990
angles: 90.00 90.00 120.00
Space group R-3m (No. 166, hexagonal axes)
Inequivalent atoms, fractional coordinates:
Ca1 0.0000 0.0000 0.1250 x6
Ca2 0.0000 0.0000 0.3755 x6
Zn1 0.0000 0.0000 0.2480 x6
Ga1 0.0000 0.0000 0.5000 x3

Calculated values
Magnetization   0.000 μB/f.u.
Energy of formation   -0.240 eV/atom

Ca3Zn2Ga3: optimized geometry, PBE.

abc: 4.457 10.902 14.887
angles: 90.00 90.00 90.00
Space group Cmcm (No. 63)
Inequivalent atoms, fractional coordinates:
Ca1 0.000 0.091 0.108 x8
Ca2 0.000 0.374 0.250 x4
Zn1 0.000 0.204 0.597 x8
Ga1 0.000 0.335 0.750 x4
Ga2 0.000 0.388 0.038 x8

Calculated values
Magnetization   0.000 μB/f.u.
Energy of formation   -0.428 eV/atom